DFT (PBE) results for GaSnSe3 after structural relaxation.

Properties
The density is 4.32 g cm⁻³. The density of states at the Fermi level is 6.98 states/eV/cell. As for the total moment: 0.0 μB/f.u. The value obtained for the raw formation energy is -0.386 eV per atom. The excess energy over the best structure of this formula in the dataset comes out at 67 meV/atom.

abc: 7.543 7.345 11.799
angles: 89.35 90.00 90.00
Atoms (fractional coordinates):
Ga 0.188 0.447 0.446
Ga 0.812 0.553 0.554
Ga 0.688 0.053 0.054
Ga 0.312 0.947 0.946
Sn 0.533 0.076 0.681
Sn 0.467 0.924 0.319
Sn 0.033 0.424 0.819
Sn 0.967 0.576 0.181
Se 0.118 0.635 0.610
Se 0.882 0.365 0.390
Se 0.618 0.865 0.890
Se 0.382 0.135 0.110
Se 0.587 0.788 0.529
Se 0.413 0.212 0.471
Se 0.087 0.712 0.971
Se 0.913 0.288 0.029
Se 0.299 0.598 0.272
Se 0.701 0.402 0.728
Se 0.799 0.902 0.228
Se 0.201 0.098 0.772